[1]
ReAgC2: single point on PBEsol structure, SCAN.

**Total DFT energy (no corrections)**: -28.4889 eV per atom
**Calculated formation energy**: 2.177 eV per atom
**Calculated density**: 12.72 Mg/m³

abc: 3.8870 3.8870 3.8870
angles: 60.00 60.00 60.00
Each line ends with the local moment (μB).
Positions (direct):
Re  0.5000  0.5000  0.5000  -0.71
C  0.2500  0.2500  0.2500  -0.02
C  0.7500  0.7500  0.7500  -0.02
Ag  0.0000  0.0000  0.0000  -0.11

=====

[2]
Ca2MnOs: single point on PBEsol structure, SCAN.

**Total DFT energy (no corrections)**: -27.0960 eV per atom
**Calculated formation energy**: 0.269 eV per atom
**Calculated density**: 6.41 Mg/m³

abc: 3.0889 3.0889 8.8326
angles: 90.00 90.00 90.00
Each line ends with the local moment (μB).
Positions (direct):
Ca  0.0000  0.0000  0.9291  0.02
Ca  0.5000  0.5000  0.3223  -0.02
Mn  0.0000  0.0000  0.5649  3.11
Os  0.5000  0.5000  0.6837  -0.07

=====

[3]
WSe5: single point on PBEsol structure, SCAN.

**Total DFT energy (no corrections)**: -27.9917 eV per atom
**Calculated density**: 6.85 Mg/m³
**E_form (uncorrected)**: 355 meV/atom

abc: 2.9857 7.3637 7.3637
angles: 120.00 90.00 90.00
Positions (direct):
Se  0.0000  0.2705  0.2705
Se  0.0000  0.7295  0.0000
Se  0.0000  0.0000  0.7295
Se  0.5000  0.3333  0.6667
Se  0.5000  0.6667  0.3333
W  0.5000  0.0000  0.0000

=====

[4]
TlP3Au: single point on PBEsol structure, SCAN.

**Total DFT energy (no corrections)**: -32.6937 eV per atom
**Calculated formation energy**: 1.849 eV per atom
**Calculated density**: 6.62 Mg/m³

abc: 4.9853 4.9853 4.9853
angles: 90.00 90.00 90.00
Positions (direct):
P  0.0000  0.5000  0.0000
P  0.0000  0.0000  0.5000
P  0.5000  0.0000  0.0000
Tl  0.0000  0.0000  0.0000
Au  0.5000  0.5000  0.5000